# TbDy2ScIn2 | the Alexandria database | PBE-GGA | optimized geometry
data_TbDy2ScIn2
_cell_length_a 5.2759
_cell_length_b 9.2082
_cell_length_c 6.6849
_cell_angle_alpha 90.00
_cell_angle_beta 90.00
_cell_angle_gamma 90.00
_space_group_name_H-M_alt 'P m c 21'
_space_group_IT_number 26
loop_
_space_group_symop_operation_xyz
'x,y,z'
'-x,-y,z+1/2'
'-x,y,z'
'x,-y,z+1/2'
loop_
_atom_site_label
_atom_site_fract_x
_atom_site_fract_y
_atom_site_fract_z
Tb1 0.0000 0.0092 0.0000
Dy1 0.0000 0.3353 0.2664
Dy2 0.5000 0.4889 0.0037
Sc1 0.5000 0.1709 0.7394
In1 0.0000 0.3265 0.7566
In2 0.5000 0.1557 0.2491
# N(E_F) = 14.8 states/eV/cell
# total moment = 0.006 μB per formula unit
# calculated formation energy = -0.353 eV per atom

# Tb2Dy6Sc3In | the Alexandria database | PBE-GGA | optimized geometry
data_Tb2Dy6Sc3In
_cell_length_a 5.9704
_cell_length_b 10.3403
_cell_length_c 11.3508
_cell_angle_alpha 90.00
_cell_angle_beta 100.07
_cell_angle_gamma 90.00
_space_group_name_H-M_alt 'C 1 2/m 1'
_space_group_IT_number 12
loop_
_space_group_symop_operation_xyz
'x,y,z'
'-x,-y,-z'
'-x,y,-z'
'x,-y,z'
'x+1/2,y+1/2,z'
'-x+1/2,-y+1/2,-z'
'-x+1/2,y+1/2,-z'
'x+1/2,-y+1/2,z'
loop_
_atom_site_label
_atom_site_fract_x
_atom_site_fract_y
_atom_site_fract_z
Tb1 0.0000 0.1664 0.0000
Dy1 0.2437 0.5000 0.7420
Dy2 0.2490 0.1650 0.7425
Sc1 0.0000 0.0000 0.5000
Sc2 0.0000 0.3336 0.5000
In1 0.0000 0.5000 0.0000
# N(E_F) = 28.4 states/eV/cell
# total moment = 0.000 μB per formula unit
# calculated formation energy = -0.031 eV per atom

# TbDySc2In4 | the Alexandria database | PBE-GGA | optimized geometry
data_TbDySc2In4
_cell_length_a 5.1839
_cell_length_b 5.1839
_cell_length_c 25.4339
_cell_angle_alpha 90.00
_cell_angle_beta 90.00
_cell_angle_gamma 120.00
_space_group_name_H-M_alt 'R -3 m'
_space_group_IT_number 166
_space_group_name_Hall '-R 3 2"'
loop_
_atom_site_label
_atom_site_fract_x
_atom_site_fract_y
_atom_site_fract_z
Tb1 0.0000 0.0000 0.0000
Dy1 0.0000 0.0000 0.5000
Sc1 0.0000 0.0000 0.2500
In1 0.0000 0.0000 0.1252
In2 0.0000 0.0000 0.3752
# N(E_F) = 13.0 states/eV/cell
# total moment = 0.000 μB per formula unit
# calculated formation energy = -0.431 eV per atom

# DyScIn2Te4 | the Alexandria database | PBE-GGA | optimized geometry
data_DyScIn2Te4
_cell_length_a 7.4893
_cell_length_b 4.3224
_cell_length_c 8.4233
_cell_angle_alpha 90.00
_cell_angle_beta 107.17
_cell_angle_gamma 90.00
_space_group_name_H-M_alt 'P 1 2/m 1'
_space_group_IT_number 10
loop_
_space_group_symop_operation_xyz
'x,y,z'
'-x,-y,-z'
'-x,y,-z'
'x,-y,z'
loop_
_atom_site_label
_atom_site_fract_x
_atom_site_fract_y
_atom_site_fract_z
Dy1 0.0000 0.0000 0.0000
Sc1 0.5000 0.5000 0.0000
In1 0.0000 0.5000 0.5000
In2 0.5000 0.0000 0.5000
Te1 0.2494 0.5000 0.2174
Te2 0.2732 0.0000 0.7886
# N(E_F) = 0.4 states/eV/cell
# formation energy (no corrections) = -0.90 eV per atom
# total moment = 0.000 μB per formula unit

# DyScTiIn | the Alexandria database | PBE-GGA | optimized geometry
data_DyScTiIn
_cell_length_a 7.2335
_cell_length_b 7.2335
_cell_length_c 7.2335
_cell_angle_alpha 90.00
_cell_angle_beta 90.00
_cell_angle_gamma 90.00
_space_group_name_H-M_alt 'F -4 3 m'
_space_group_IT_number 216
_space_group_name_Hall 'F -4 2 3'
loop_
_atom_site_label
_atom_site_fract_x
_atom_site_fract_y
_atom_site_fract_z
Dy1 0.0000 0.0000 0.0000
Sc1 0.0000 0.0000 0.5000
Ti1 0.2500 0.2500 0.7500
In1 0.2500 0.2500 0.2500
# N(E_F) = 17.7 states/eV/cell
# total moment = 2.842 μB per formula unit
# calculated formation energy = -0.108 eV per atom

# DyScTlIn | the Alexandria database | PBE-GGA | optimized geometry
data_DyScTlIn
_cell_length_a 4.8290
_cell_length_b 4.8290
_cell_length_c 8.5472
_cell_angle_alpha 90.00
_cell_angle_beta 90.00
_cell_angle_gamma 90.00
_space_group_name_H-M_alt 'I -4 m 2'
_space_group_IT_number 119
_space_group_name_Hall 'I -4 -2'
loop_
_atom_site_label
_atom_site_fract_x
_atom_site_fract_y
_atom_site_fract_z
Dy1 0.0000 0.0000 0.0000
Sc1 0.0000 0.0000 0.5000
Tl1 0.0000 0.5000 0.7500
In1 0.0000 0.5000 0.2500
# N(E_F) = 5.3 states/eV/cell
# total moment = 0.469 μB per formula unit
# calculated formation energy = -0.359 eV per atom

# DyScTlIn | the Alexandria database | PBE-GGA | optimized geometry
data_DyScTlIn
_cell_length_a 7.3726
_cell_length_b 7.3726
_cell_length_c 7.3726
_cell_angle_alpha 90.00
_cell_angle_beta 90.00
_cell_angle_gamma 90.00
_space_group_name_H-M_alt 'F -4 3 m'
_space_group_IT_number 216
_space_group_name_Hall 'F -4 2 3'
loop_
_atom_site_label
_atom_site_fract_x
_atom_site_fract_y
_atom_site_fract_z
Dy1 0.0000 0.0000 0.0000
Sc1 0.0000 0.0000 0.5000
Tl1 0.2500 0.2500 0.7500
In1 0.2500 0.2500 0.2500
# N(E_F) = 8.7 states/eV/cell
# total moment = 0.000 μB per formula unit
# calculated formation energy = -0.359 eV per atom

# Dy2TmScIn2 | the Alexandria database | PBE-GGA | optimized geometry
data_Dy2TmScIn2
_cell_length_a 5.2618
_cell_length_b 9.1461
_cell_length_c 6.6439
_cell_angle_alpha 90.00
_cell_angle_beta 90.00
_cell_angle_gamma 90.00
_space_group_name_H-M_alt 'P m c 21'
_space_group_IT_number 26
loop_
_space_group_symop_operation_xyz
'x,y,z'
'-x,-y,z+1/2'
'-x,y,z'
'x,-y,z+1/2'
loop_
_atom_site_label
_atom_site_fract_x
_atom_site_fract_y
_atom_site_fract_z
Dy1 0.0000 0.0008 0.0000
Dy2 0.5000 0.1649 0.2509
Tm1 0.5000 0.4993 0.9997
Sc1 0.0000 0.3315 0.7489
In1 0.0000 0.3443 0.2496
In2 0.5000 0.1769 0.7503
# N(E_F) = 13.9 states/eV/cell
# total moment = 0.256 μB per formula unit
# calculated formation energy = -0.353 eV per atom

# DyTmSc2In4 | the Alexandria database | PBE-GGA | optimized geometry
data_DyTmSc2In4
_cell_length_a 5.1624
_cell_length_b 5.1624
_cell_length_c 25.3343
_cell_angle_alpha 90.00
_cell_angle_beta 90.00
_cell_angle_gamma 120.00
_space_group_name_H-M_alt 'R -3 m'
_space_group_IT_number 166
_space_group_name_Hall '-R 3 2"'
loop_
_atom_site_label
_atom_site_fract_x
_atom_site_fract_y
_atom_site_fract_z
Dy1 0.0000 0.0000 0.0000
Tm1 0.0000 0.0000 0.5000
Sc1 0.0000 0.0000 0.2498
In1 0.0000 0.0000 0.1256
In2 0.0000 0.0000 0.3756
# N(E_F) = 13.5 states/eV/cell
# total moment = 0.001 μB per formula unit
# calculated formation energy = -0.418 eV per atom

# DyTm2ScIn4 | the Alexandria database | PBE-GGA | optimized geometry
data_DyTm2ScIn4
_cell_length_a 5.2160
_cell_length_b 5.2160
_cell_length_c 25.6572
_cell_angle_alpha 90.00
_cell_angle_beta 90.00
_cell_angle_gamma 120.00
_space_group_name_H-M_alt 'R -3 m'
_space_group_IT_number 166
_space_group_name_Hall '-R 3 2"'
loop_
_atom_site_label
_atom_site_fract_x
_atom_site_fract_y
_atom_site_fract_z
Dy1 0.0000 0.0000 0.0000
Tm1 0.0000 0.0000 0.2493
Sc1 0.0000 0.0000 0.5000
In1 0.0000 0.0000 0.1268
In2 0.0000 0.0000 0.3770
# N(E_F) = 14.3 states/eV/cell
# total moment = 0.000 μB per formula unit
# calculated formation energy = -0.421 eV per atom

# DyY2ScIn2 | the Alexandria database | PBE-GGA | optimized geometry
data_DyY2ScIn2
_cell_length_a 5.2821
_cell_length_b 9.1926
_cell_length_c 6.6963
_cell_angle_alpha 90.00
_cell_angle_beta 90.00
_cell_angle_gamma 90.00
_space_group_name_H-M_alt 'P m c 21'
_space_group_IT_number 26
loop_
_space_group_symop_operation_xyz
'x,y,z'
'-x,-y,z+1/2'
'-x,y,z'
'x,-y,z+1/2'
loop_
_atom_site_label
_atom_site_fract_x
_atom_site_fract_y
_atom_site_fract_z
Dy1 0.0000 0.0060 0.0000
Y1 0.0000 0.3346 0.2611
Y2 0.5000 0.4927 0.0028
Sc1 0.5000 0.1699 0.7427
In1 0.0000 0.3257 0.7548
In2 0.5000 0.1560 0.2493
# N(E_F) = 14.3 states/eV/cell
# total moment = 0.470 μB per formula unit
# calculated formation energy = -0.370 eV per atom

# Dy2YScIn2 | the Alexandria database | PBE-GGA | optimized geometry
data_Dy2YScIn2
_cell_length_a 5.2752
_cell_length_b 9.1828
_cell_length_c 6.6939
_cell_angle_alpha 90.00
_cell_angle_beta 90.00
_cell_angle_gamma 90.00
_space_group_name_H-M_alt 'P m c 21'
_space_group_IT_number 26
loop_
_space_group_symop_operation_xyz
'x,y,z'
'-x,-y,z+1/2'
'-x,y,z'
'x,-y,z+1/2'
loop_
_atom_site_label
_atom_site_fract_x
_atom_site_fract_y
_atom_site_fract_z
Dy1 0.0000 0.0062 0.0000
Dy2 0.5000 0.1635 0.2570
Y1 0.5000 0.4948 0.9980
Sc1 0.0000 0.3294 0.7418
In1 0.0000 0.3441 0.2475
In2 0.5000 0.1753 0.7517
# N(E_F) = 14.5 states/eV/cell
# total moment = 0.244 μB per formula unit
# calculated formation energy = -0.363 eV per atom